# 1
Computed, not measured: an optimized crystal structure of PuFePt at the PBE-GGA level of DFT.

a b c (Å): 6.1731 6.1731 6.1731
angles (deg): 90.00 90.00 90.00
Space group F-43m (No. 216)
Asymmetric unit:
Pu 0.0000 0.0000 0.0000 (multiplicity 4)
Fe 0.0000 0.0000 0.5000 (multiplicity 4)
Pt 0.2500 0.2500 0.7500 (multiplicity 4)

Computed properties:
The formation energy comes out at 0.8348 eV/atom. For the calculated volume, the calculation gives 235 Å³/cell. The calculation puts the theoretical density at 13.975 g/cm³.

# 2
Computed, not measured: an optimized crystal structure of La2GdNiSn3Ir2 at the PBE-GGA level of DFT.

a b c (Å): 4.0949 13.0718 7.5215
angles (deg): 90.00 90.00 90.00
Space group Amm2 (No. 38)
Asymmetric unit:
La 0.0000 0.2077 0.0000 (multiplicity 4)
Gd 0.0000 0.0000 0.3811 (multiplicity 2)
Ni 0.0000 0.0000 0.7861 (multiplicity 2)
Sn 0.5000 0.0000 0.0407 (multiplicity 2)
Sn 0.5000 0.1207 0.6664 (multiplicity 4)
Ir 0.5000 0.1646 0.2913 (multiplicity 4)

Computed properties:
For the calculated volume, the calculation gives 403 Å³/cell. For the energy, the calculation gives -113.45 eV per cell. The calculation puts the theoretical density at 10.182 g/cm³.

# 3
Computed, not measured: an optimized crystal structure of NaFeBW at the PBE-GGA level of DFT.

a b c (Å): 5.8394 5.8394 5.8394
angles (deg): 90.00 90.00 90.00
Space group F-43m (No. 216)
Asymmetric unit:
Na 0.0000 0.0000 0.0000 (multiplicity 4)
Fe 0.2500 0.2500 0.2500 (multiplicity 4)
B 0.2500 0.2500 0.7500 (multiplicity 4)
W 0.0000 0.0000 0.5000 (multiplicity 4)

Computed properties:
For the calculated volume, the calculation gives 199 Å³/cell. The offset from the most stable computed form comes out at 0 meV per atom. The calculation puts the theoretical density at 9.123 g/cm³.

# 4
Computed, not measured: an optimized crystal structure of NaSrTl4Pd2 at the PBE-GGA level of DFT.

a b c (Å): 8.4456 4.3928 11.1271
angles (deg): 90.00 90.00 90.00
Space group Amm2 (No. 38)
Asymmetric unit:
Na 0.0000 0.0000 0.0000 (multiplicity 2)
Sr 0.5000 0.0000 0.8730 (multiplicity 2)
Tl 0.1933 0.0000 0.2918 (multiplicity 4)
Tl 0.2917 0.0000 0.5798 (multiplicity 4)
Pd 0.0000 0.0000 0.7186 (multiplicity 2)
Pd 0.5000 0.0000 0.1591 (multiplicity 2)

Computed properties:
For the calculated volume, the calculation gives 413 Å³/cell. The offset from the most stable computed form comes out at 0 meV per atom. The calculation puts the theoretical density at 9.179 g/cm³.

# 5
Computed, not measured: an optimized crystal structure of Gd3Tl4Sn2Pb at the PBE-GGA level of DFT.

a b c (Å): 4.6598 24.5846 4.7810
angles (deg): 90.00 90.00 90.00
Space group Cmmm (No. 65)
Asymmetric unit:
Gd 0.0000 0.0000 0.0000 (multiplicity 2)
Gd 0.0000 0.1890 0.0000 (multiplicity 4)
Tl 0.0000 0.1008 0.5000 (multiplicity 4)
Tl 0.0000 0.2932 0.5000 (multiplicity 4)
Sn 0.0000 0.4022 0.0000 (multiplicity 4)
Pb 0.0000 0.5000 0.5000 (multiplicity 2)

Computed properties:
For the calculated volume, the calculation gives 548 Å³/cell. The offset from the most stable computed form comes out at 46 meV per atom. The calculation puts the theoretical density at 10.514 g/cm³.

# 6
Computed, not measured: an optimized crystal structure of RbHoNiSe3 at the PBE-GGA level of DFT.

a b c (Å): 11.1946 4.3141 12.6643
angles (deg): 90.00 90.00 90.00
Space group Pnma (No. 62)
Asymmetric unit:
Rb 0.1649 0.2500 0.0007 (multiplicity 4)
Ho 0.0078 0.2500 0.3362 (multiplicity 4)
Ni 0.2343 0.2500 0.7134 (multiplicity 4)
Se 0.0542 0.7500 0.1921 (multiplicity 4)
Se 0.1113 0.2500 0.5546 (multiplicity 4)
Se 0.2224 0.7500 0.7851 (multiplicity 4)

Computed properties:
For the calculated volume, the calculation gives 612 Å³/cell. For the energy, the calculation gives -113.04 eV per cell. The calculation puts the theoretical density at 5.929 g/cm³.

# 7
Computed, not measured: an optimized crystal structure of SmB2 at the PBE-GGA level of DFT.

a b c (Å): 6.7061 6.7061 6.7061
angles (deg): 90.00 90.00 90.00
Space group Fd-3m (No. 227, origin choice 2)
Asymmetric unit:
Sm 0.1250 0.1250 0.1250 (multiplicity 8)
B 0.0000 0.0000 0.5000 (multiplicity 16)

Computed properties:
For the calculated volume, the calculation gives 302 Å³/cell. The offset from the most stable computed form comes out at 1030 meV per atom. The calculation puts the theoretical density at 7.575 g/cm³.

# 8
Computed, not measured: an optimized crystal structure of Li4CuSnPd2 at the PBE-GGA level of DFT.

a b c (Å): 4.3639 4.3639 6.1030
angles (deg): 90.00 90.00 90.00
Space group P-4m2 (No. 115)
Asymmetric unit:
Li 0.0000 0.0000 0.0000 (multiplicity 1)
Li 0.0000 0.5000 0.2232 (multiplicity 2)
Li 0.5000 0.5000 0.5000 (multiplicity 1)
Cu 0.5000 0.5000 0.0000 (multiplicity 1)
Sn 0.0000 0.0000 0.5000 (multiplicity 1)
Pd 0.0000 0.5000 0.7583 (multiplicity 2)

Computed properties:
For the calculated volume, the calculation gives 116 Å³/cell. For the energy, the calculation gives -29.05 eV per cell. The calculation puts the theoretical density at 6.042 g/cm³.

# 9
Computed, not measured: an optimized crystal structure of CdPtPb at the PBE-GGA level of DFT.

a b c (Å): 6.6395 6.6395 6.6395
angles (deg): 90.00 90.00 90.00
Space group F-43m (No. 216)
Asymmetric unit:
Cd 0.0000 0.0000 0.0000 (multiplicity 4)
Pt 0.2500 0.2500 0.2500 (multiplicity 4)
Pb 0.2500 0.2500 0.7500 (multiplicity 4)

Computed properties:
For the calculated volume, the calculation gives 293 Å³/cell. The offset from the most stable computed form comes out at 0 meV per atom. The calculation puts the theoretical density at 11.680 g/cm³.

# 10
Computed, not measured: an optimized crystal structure of TaTc at the PBE-GGA level of DFT.

a b c (Å): 4.0948 4.0948 5.1208
angles (deg): 90.00 90.00 120.00
Space group P6_3/mmc (No. 194)
Asymmetric unit:
Ta 0.3333 0.6667 0.2500 (multiplicity 2)
Tc 0.0000 0.0000 0.0000 (multiplicity 2)

Computed properties:
The formation energy comes out at 0.3674 eV/atom. For the calculated volume, the calculation gives 74 Å³/cell. The calculation puts the theoretical density at 12.459 g/cm³.

# 11
Computed, not measured: an optimized crystal structure of Sr3P4Ir2 at the PBE-GGA level of DFT.

a b c (Å): 7.2621 15.2511 3.9341
angles (deg): 90.00 90.00 90.00
Space group Pnnm (No. 58)
Asymmetric unit:
Sr 0.0000 0.0000 0.0000 (multiplicity 2)
Sr 0.1543 0.2785 0.5000 (multiplicity 4)
P 0.2013 0.4327 0.0000 (multiplicity 4)
P 0.2247 0.6453 0.5000 (multiplicity 4)
Ir 0.1177 0.5785 0.0000 (multiplicity 4)

Computed properties:
For the calculated volume, the calculation gives 436 Å³/cell. The offset from the most stable computed form comes out at 59 meV per atom. The calculation puts the theoretical density at 5.878 g/cm³.

# 12
Computed, not measured: an optimized crystal structure of FeReAsW at the PBE-GGA level of DFT.

a b c (Å): 6.1396 6.1396 6.1396
angles (deg): 90.00 90.00 90.00
Space group F-43m (No. 216)
Asymmetric unit:
Fe 0.0000 0.0000 0.0000 (multiplicity 4)
Re 0.0000 0.0000 0.5000 (multiplicity 4)
As 0.2500 0.2500 0.7500 (multiplicity 4)
W 0.2500 0.2500 0.2500 (multiplicity 4)

Computed properties:
For the calculated volume, the calculation gives 231 Å³/cell. The offset from the most stable computed form comes out at 0 meV per atom. The calculation puts the theoretical density at 14.373 g/cm³.